Entry 1:
This record from the Alexandria database describes an optimized crystal structure of Ce2Ga4AgPt3. The functional is PBE.

Lattice parameters (Å, degrees): 4.298 4.298 10.613 90.00 90.00 90.00
Site moments in Bohr magnetons follow the coordinates.
Sites, in units of the cell vectors:
Ce 0.000 0.500 0.761  0.65
Ce 0.500 0.000 0.239  0.65
Ag 0.500 0.500 0.500  0.01
Ga 0.000 0.500 0.366  0.00
Ga 0.500 0.500 0.000  0.00
Ga 0.000 0.000 0.000  0.00
Ga 0.500 0.000 0.634  0.00
Pt 0.000 0.500 0.133  -0.02
Pt 0.500 0.000 0.867  -0.02
Pt 0.000 0.000 0.500  0.00

Summary:
- Energy of formation from the pure elements: -797.1 meV per atom
- Calculated total energy: -5.29 eV per atom

=====

Entry 2:
This record from the Alexandria database describes an optimized crystal structure of Ce2GaAgS5. The functional is PBE.

Lattice parameters (Å, degrees): 3.882 8.982 11.369 90.00 90.00 102.48
Site moments in Bohr magnetons follow the coordinates.
Sites, in units of the cell vectors:
Ag 0.228 0.456 0.023  -0.01
Ag 0.772 0.544 0.523  -0.01
Ce 0.127 0.253 0.301  0.91
Ce 0.120 0.240 0.680  0.94
Ce 0.873 0.747 0.801  0.91
Ce 0.880 0.760 0.180  0.94
S 0.291 0.582 0.679  -0.02
S 0.681 0.361 0.856  -0.01
S 0.498 0.997 0.276  -0.02
S 0.041 0.081 0.061  0.00
S 0.959 0.919 0.561  0.00
S 0.502 0.003 0.776  -0.02
S 0.319 0.639 0.356  -0.01
S 0.709 0.418 0.179  -0.02
S 0.370 0.739 0.995  -0.03
S 0.630 0.261 0.495  -0.03
Ga 0.566 0.133 0.953  0.01
Ga 0.434 0.867 0.453  0.01

Summary:
- E_form (uncorrected): -1.275 eV per atom
- Calculated total energy: -5.54 eV per atom

=====

Entry 3:
This record from the Alexandria database describes an optimized crystal structure of CeScGaAg. The functional is PBE.

Lattice parameters (Å, degrees): 5.045 5.045 5.045 60.00 60.00 60.00
Site moments in Bohr magnetons follow the coordinates.
Sites, in units of the cell vectors:
Sc 0.500 0.500 0.500  0.18
Ga 0.750 0.750 0.750  -0.01
Ce 0.000 0.000 0.000  0.66
Ag 0.250 0.250 0.250  0.03

Summary:
- Energy of formation from the pure elements: -317.1 meV per atom
- Calculated total energy: -4.85 eV per atom

=====

Entry 4:
This record from the Alexandria database describes an optimized crystal structure of Ce2SmGa2Ag2. The functional is PBE.

Lattice parameters (Å, degrees): 4.524 4.524 9.319 75.95 75.95 60.00
Site moments in Bohr magnetons follow the coordinates.
Sites, in units of the cell vectors:
Sm 0.000 0.000 0.000  0.01
Ag 0.406 0.406 0.781  0.00
Ag 0.594 0.594 0.219  0.00
Ga 0.261 0.261 0.217  -0.01
Ga 0.739 0.739 0.783  -0.01
Ce 0.859 0.859 0.423  0.48
Ce 0.141 0.141 0.577  0.48

Summary:
- Energy of formation from the pure elements: -366.2 meV per atom
- Calculated total energy: -4.42 eV per atom

=====

Entry 5:
This record from the Alexandria database describes an optimized crystal structure of CeSmGaAg. The functional is PBE.

Lattice parameters (Å, degrees): 5.229 5.229 5.229 60.00 60.00 60.00
Site moments in Bohr magnetons follow the coordinates.
Sites, in units of the cell vectors:
Sm 0.500 0.500 0.500  0.16
Ce 0.000 0.000 0.000  0.81
Ag 0.250 0.250 0.250  0.03
Ga 0.750 0.750 0.750  -0.02

Summary:
- Energy of formation from the pure elements: -319.7 meV per atom
- Calculated total energy: -4.45 eV per atom

=====

Entry 6:
This record from the Alexandria database describes an optimized crystal structure of CeGaAgSn. The functional is PBE.

Lattice parameters (Å, degrees): 5.044 5.044 5.044 60.00 60.00 60.00
Site moments in Bohr magnetons follow the coordinates.
Sites, in units of the cell vectors:
Ag 0.750 0.750 0.750  0.00
Sn 0.500 0.500 0.500  -0.01
Ga 0.250 0.250 0.250  0.00
Ce 0.000 0.000 0.000  0.48

Summary:
- Energy of formation from the pure elements: -309.1 meV per atom
- Calculated total energy: -4.26 eV per atom